(1)
Density functional theory data (PBE with a Hubbard U) for an optimized crystal structure of AcPaNiO6.

Cell lengths 5.584, 5.584, 4.918 Å; angles 90.00, 90.00, 120.00 degrees
Sites, in units of the cell vectors:
1 Ac 0.000 0.000 0.000
2 Pa 0.667 0.333 0.500
3 Ni 0.333 0.667 0.000
4 O 0.012 0.392 0.241
5 O 0.012 0.620 0.759
6 O 0.380 0.392 0.759
7 O 0.380 0.988 0.241
8 O 0.608 0.620 0.241
9 O 0.608 0.988 0.759

Values from the calculation:
The density of states at the Fermi level is 0.837 states/eV per atom. The calculated total energy is -7.339 eV/atom. The value obtained for the magnetization is 0.43 μB per atom. Its crystal system is trigonal.


(2)
Density functional theory data (PBE with a Hubbard U) for an optimized crystal structure of Ac2NiPbO6.

Cell lengths 5.872, 5.872, 5.944 Å; angles 119.50, 119.50, 59.63 degrees
Sites, in units of the cell vectors:
1 Ac 0.247 0.247 0.232
2 Ac 0.753 0.753 0.768
3 Ni 0.500 0.500 0.000
4 Pb 0.000 0.000 0.500
5 O 0.197 0.687 0.185
6 O 0.254 0.254 0.656
7 O 0.313 0.803 0.815
8 O 0.687 0.197 0.185
9 O 0.746 0.746 0.344
10 O 0.803 0.313 0.815

Values from the calculation:
The calculated total energy is -6.592 eV/atom. The value obtained for the magnetization is 0.20 μB per atom. Its crystal system is monoclinic.


(3)
Density functional theory data (PBE with a Hubbard U) for an optimized crystal structure of Ac2NiPdO6.

Cell lengths 5.738, 5.719, 9.905 Å; angles 90.00, 125.38, 90.00 degrees
Sites, in units of the cell vectors:
1 Ac 0.244 0.034 0.250
2 Ac 0.244 0.466 0.750
3 Ac 0.756 0.534 0.250
4 Ac 0.756 0.966 0.750
5 Ni 0.500 0.000 0.000
6 Ni 0.500 0.500 0.500
7 Pd 0.000 0.000 0.500
8 Pd 0.000 0.500 0.000
9 O 0.176 0.218 0.962
10 O 0.176 0.282 0.462
11 O 0.242 0.715 0.961
12 O 0.242 0.785 0.461
13 O 0.319 0.010 0.749
14 O 0.319 0.490 0.249
15 O 0.681 0.510 0.751
16 O 0.681 0.990 0.251
17 O 0.758 0.215 0.539
18 O 0.758 0.285 0.039
19 O 0.824 0.718 0.538
20 O 0.824 0.782 0.038

Values from the calculation:
The calculated total energy is -6.661 eV/atom. The value obtained for the magnetization is 0.20 μB per atom. Its crystal system is monoclinic.